(1)
Compound: KTl12Hg6
Source: Alexandria via LeMat-Bulk
Functional: PBE-GGA
Structure: relaxed

Structure (extended XYZ):
```
19
Lattice="7.5431 4.3550 2.8898 -7.5431 4.3550 2.8898 0.0000 -8.7101 2.8898" Properties=species:S:1:pos:R:3 pbc="T T T"
K 0.0000 0.0000 0.0000
Tl -3.7458 -0.4224 2.8294
Tl -0.6306 -5.1023 2.9784
Tl -4.1034 3.0973 2.9784
Tl -4.7340 -2.0051 5.6910
Tl 2.2387 -3.0328 2.8294
Tl -1.5071 -3.4552 5.8400
Tl 1.5071 3.4552 2.8294
Tl -2.2387 3.0328 5.8400
Tl 4.7341 2.0051 2.9784
Tl 4.1034 -3.0973 5.6910
Tl 0.6306 5.1023 5.6910
Tl 3.7458 0.4224 5.8400
Hg -0.7915 -1.7876 2.9195
Hg -1.1524 1.5793 2.9195
Hg 1.9439 0.2083 2.9195
Hg -1.9439 -0.2083 5.7499
Hg 1.1523 -1.5793 5.7499
Hg 0.7915 1.7876 5.7499
```

Output
M_tot   0.00 μB/f.u.
Energy relative to the elements   -16 meV/atom
Energy relative to the lowest polymorph listed for this composition   0.0 meV per atom

=====

(2)
Compound: LaMg2Ni
Source: Alexandria via LeMat-Bulk
Functional: PBE-GGA
Structure: relaxed

Structure (extended XYZ):
```
4
Lattice="3.2266 0.0000 0.0000 0.0000 3.2266 0.0000 0.0000 0.0000 8.3006" Properties=species:S:1:pos:R:3 pbc="T T T"
La 0.0000 0.0000 0.0000
Mg 1.6133 1.6133 2.7035
Mg 1.6133 1.6133 5.5971
Ni 0.0000 0.0000 4.1503
```

Output
M_tot   0.00 μB/f.u.
Energy relative to the elements   -59 meV/atom